Ba2SnSe2Br2: optimized geometry, PBE.

Results
Energy relative to the elements, uncorrected = -1.4988 eV/atom
Theoretical density = 4.5 g/cm³
Density of states at the Fermi level = 0.7 states/eV/cell

Unit cell a=9.243 b=9.243 c=9.243 alpha=144.49 beta=144.49 gamma=51.09
Positions (direct):
Ba: 0.119 0.119 0.000
Ba: 0.881 0.881 0.000
Sn: 0.500 0.500 0.000
Se: 0.000 0.500 0.500
Se: 0.500 0.000 0.500
Br: 0.310 0.310 0.000
Br: 0.690 0.690 0.000